# 1
Entry from Alexandria via LeMat-Bulk: a relaxed structure of Cd2OsRu (PBE-GGA).

Cell: 6.455 6.455 6.455 Å, 90.00 90.00 90.00°
Space group F-43m (No. 216)
Inequivalent atoms, fractional coordinates:
Cd1 0.000 0.000 0.000 [4 per cell]
Cd2 0.250 0.250 0.250 [4 per cell]
Os1 0.000 0.000 0.500 [4 per cell]
Ru1 0.250 0.250 0.750 [4 per cell]

ΔE_f in eV per atom: 0.633
VASP energy in eV/atom: -4.95
Polymorph energy (0 for the lowest one) in eV/atom: 0.461

# 2
Entry from Alexandria via LeMat-Bulk: a relaxed structure of Nd6CoIr2Cl3 (PBE-GGA).

Cell: 7.064 12.251 7.895 Å, 90.00 107.25 90.00°
Space group C2/m (No. 12)
Inequivalent atoms, fractional coordinates:
Nd1 0.229 0.162 0.202 [8 per cell]
Nd2 0.243 0.500 0.202 [4 per cell]
Co1 0.000 0.000 0.000 [2 per cell]
Ir1 0.000 0.333 0.000 [4 per cell]
Cl1 0.000 0.162 0.500 [4 per cell]
Cl2 0.000 0.500 0.500 [2 per cell]

VASP energy in eV/atom: -5.98
Energy relative to the elements, uncorrected in eV/atom: -1.067

# 3
Entry from Alexandria via LeMat-Bulk: a relaxed structure of KYMo2 (PBE-GGA).

Cell: 7.348 7.348 7.348 Å, 90.00 90.00 90.00°
Space group Fm-3m (No. 225)
Inequivalent atoms, fractional coordinates:
K1 0.000 0.000 0.000 [4 per cell]
Y1 0.000 0.000 0.500 [4 per cell]
Mo1 0.250 0.250 0.250 [8 per cell]

ΔE_f in eV per atom: 1.696
VASP energy in eV/atom: -5.61
Polymorph energy (0 for the lowest one) in eV/atom: 1.162

# 4
Entry from Alexandria via LeMat-Bulk: a relaxed structure of Ti3Rh5Au (PBE-GGA).

Cell: 7.5741 7.5741 5.4587 Å, 90.00 90.00 120.00°
Space group P6_3/mcm (No. 193)
Inequivalent atoms, fractional coordinates:
Ti1 0.0000 0.3509 0.2500 [6 per cell]
Rh1 0.0000 0.3285 0.7500 [6 per cell]
Rh2 0.3333 0.6667 0.0000 [4 per cell]
Au1 0.0000 0.0000 0.0000 [2 per cell]

ΔE_f in eV per atom: -0.630
VASP energy in eV/atom: -7.71

# 5
Entry from Alexandria via LeMat-Bulk: a relaxed structure of AcSm2S3F3 (PBE-GGA).

Cell: 6.9799 6.9799 3.9929 Å, 90.00 90.00 120.00°
Space group P-62m (No. 189)
Inequivalent atoms, fractional coordinates:
Ac1 0.0000 0.0000 0.0000 [1 per cell]
Sm1 0.3333 0.6667 0.5000 [2 per cell]
S1 0.0000 0.4308 0.0000 [3 per cell]
F1 0.0000 0.7596 0.5000 [3 per cell]

VASP energy in eV/atom: -6.53
Energy relative to the elements, uncorrected in eV/atom: -3.026

# 6
Entry from Alexandria via LeMat-Bulk: a relaxed structure of PrSc2Zn (PBE-GGA).

Cell: 3.397 3.397 8.441 Å, 90.00 90.00 90.00°
Space group P4/mmm (No. 123)
Inequivalent atoms, fractional coordinates:
Pr1 0.000 0.000 0.000 [1 per cell]
Sc1 0.500 0.500 0.305 [2 per cell]
Zn1 0.000 0.000 0.500 [1 per cell]

ΔE_f in eV per atom: -0.148
VASP energy in eV/atom: -4.83
Polymorph energy (0 for the lowest one) in eV/atom: 0.000

# 7
Entry from Alexandria via LeMat-Bulk: a relaxed structure of LiTcRu2 (PBE-GGA).

Cell: 2.849 4.429 8.481 Å, 90.00 90.00 90.00°
Space group Immm (No. 71)
Inequivalent atoms, fractional coordinates:
Li1 0.000 0.000 0.000 [2 per cell]
Tc1 0.000 0.000 0.500 [2 per cell]
Ru1 0.000 0.500 0.256 [4 per cell]

ΔE_f in eV per atom: 0.237
VASP energy in eV/atom: -7.47
Polymorph energy (0 for the lowest one) in eV/atom: 0.138

# 8
Entry from Alexandria via LeMat-Bulk: a relaxed structure of Na5Au (PBE-GGA).

Cell: 10.441 4.427 8.282 Å, 90.00 90.00 90.00°
Space group Pmma (No. 51)
Inequivalent atoms, fractional coordinates:
Na1 0.000 0.000 0.000 [2 per cell]
Na2 0.073 0.500 0.312 [4 per cell]
Na3 0.250 0.000 0.578 [2 per cell]
Na4 0.250 0.500 0.937 [2 per cell]
Au1 0.250 0.000 0.196 [2 per cell]

ΔE_f in eV per atom: -0.127
VASP energy in eV/atom: -1.77
Polymorph energy (0 for the lowest one) in eV/atom: 0.000

# 9
Entry from Alexandria via LeMat-Bulk: a relaxed structure of Hg2PtBr (PBE-GGA).

Cell: 7.389 3.777 7.983 Å, 90.00 113.53 90.00°
Space group C2/m (No. 12)
Inequivalent atoms, fractional coordinates:
Hg1 0.236 0.000 0.295 [4 per cell]
Pt1 0.000 0.000 0.500 [2 per cell]
Br1 0.000 0.500 0.000 [2 per cell]

VASP energy in eV/atom: -2.03
Energy relative to the elements, uncorrected in eV/atom: 0.046
Polymorph energy (0 for the lowest one) in eV/atom: 0.051

# 10
Entry from Alexandria via LeMat-Bulk: a relaxed structure of TaSe2IBr (PBE-GGA).

Cell: 5.409 5.409 5.446 Å, 90.00 90.00 90.00°
Space group P4/mmm (No. 123)
Inequivalent atoms, fractional coordinates:
Ta1 0.000 0.000 0.000 [1 per cell]
Se1 0.000 0.500 0.500 [2 per cell]
I1 0.500 0.500 0.500 [1 per cell]
Br1 0.500 0.500 0.000 [1 per cell]

VASP energy in eV/atom: -2.75
Energy relative to the elements, uncorrected in eV/atom: 1.657
Polymorph energy (0 for the lowest one) in eV/atom: 1.768

# 11
Entry from Alexandria via LeMat-Bulk: a relaxed structure of Cs8RbBr4 (PBE-GGA).

Cell: 18.967 18.967 5.251 Å, 90.00 90.00 90.00°
Space group I4/m (No. 87)
Inequivalent atoms, fractional coordinates:
Cs1 0.038 0.336 0.000 [8 per cell]
Cs2 0.148 0.815 0.500 [8 per cell]
Rb1 0.000 0.000 0.000 [2 per cell]
Br1 0.157 0.676 0.000 [8 per cell]

VASP energy in eV/atom: -2.16
Energy relative to the elements, uncorrected in eV/atom: -1.047

# 12
Entry from Alexandria via LeMat-Bulk: a relaxed structure of TbNdSiAu (PBE-GGA).

Cell: 7.277 7.277 7.277 Å, 90.00 90.00 90.00°
Space group F-43m (No. 216)
Inequivalent atoms, fractional coordinates:
Tb1 0.000 0.000 0.000 [4 per cell]
Nd1 0.000 0.000 0.500 [4 per cell]
Si1 0.250 0.250 0.750 [4 per cell]
Au1 0.250 0.250 0.250 [4 per cell]

VASP energy in eV/atom: -5.15
Energy relative to the elements, uncorrected in eV/atom: -0.630

# 13
Entry from Alexandria via LeMat-Bulk: a relaxed structure of KGeIBr2 (PBE-GGA).

Cell: 5.534 5.534 5.958 Å, 90.00 90.00 90.00°
Space group P4/mmm (No. 123)
Inequivalent atoms, fractional coordinates:
K1 0.000 0.000 0.000 [1 per cell]
Ge1 0.500 0.500 0.500 [1 per cell]
I1 0.500 0.500 0.000 [1 per cell]
Br1 0.000 0.500 0.500 [2 per cell]

VASP energy in eV/atom: -3.04
Energy relative to the elements, uncorrected in eV/atom: -0.916